11
Lattice="3.7408 0.0000 -1.1385 -1.1009 6.3691 -3.6174 0.1880 -0.1099 7.3328" Properties=species:S:1:pos:R:3 comment="PBE-GGA MnAl8Si2, relaxed" formation_energy_uncorrected_kj_per_mol_atoms=1.67 energy_ev_per_atom=-4.524 crystal_system=orthorhombic pbc="T T T"
Al 2.0682 2.6310 0.0807
Al 0.5014 1.0223 1.6473
Si -0.1034 4.0961 -0.3399
Al 1.2912 0.5534 4.2426
Al 1.5367 5.7058 -1.6657
Mn 1.8704 0.0000 -0.5692
Al 3.6536 1.4825 5.2899
Al -0.8257 4.7767 -2.7130
Si 2.9314 2.1632 2.9168
Al 2.3266 5.2370 0.9296
Al 0.7597 3.6283 2.4963